This record from the Alexandria database describes a geometry-optimized DyZnBiAu structure. The functional is PBE.

```
DyZnBiAu
1.0
0.000 3.594 3.594
3.594 0.000 3.594
3.594 3.594 0.000
Dy Zn Bi Au
1 1 1 1
Direct
0.000 0.000 0.000
0.750 0.750 0.750
0.500 0.500 0.500
0.250 0.250 0.250
```

Properties
Crystal system: cubic
DFT formation energy in kJ/mol of formula units: -136.1

This record from the Alexandria database describes a geometry-optimized Er6Sn3C2 structure. The functional is PBE.

```
Er6Sn3C2
1.0
-2.370 2.370 12.309
2.370 -2.370 12.309
2.370 2.370 -12.309
Er Sn C
6 3 2
Direct
0.084 0.584 0.500
0.195 0.195 0.000
0.416 0.916 0.500
0.584 0.084 0.500
0.805 0.805 0.000
0.916 0.416 0.500
0.322 0.322 0.000
0.500 0.500 0.000
0.678 0.678 0.000
0.103 0.103 0.000
0.897 0.897 0.000
```

Properties
Crystal system: tetragonal
DFT formation energy in kJ/mol of formula units: -519.6

This record from the Alexandria database describes a geometry-optimized La4SiAgBr2 structure. The functional is PBE.

```
La4SiAgBr2
1.0
7.450 0.000 0.000
0.000 4.403 0.000
-2.570 0.000 7.378
La Si Ag Br
4 1 1 2
Direct
0.232 0.000 0.232
0.241 0.500 0.761
0.759 0.500 0.239
0.768 0.000 0.768
0.000 0.500 0.000
0.000 0.000 0.500
0.500 0.000 0.000
0.500 0.500 0.500
```

Properties
Crystal system: monoclinic
Formation energy (no corrections) in meV/atom: -920

This record from the Alexandria database describes a geometry-optimized ReSeBr2 structure. The functional is PBE.

```
ReSeBr2
1.0
3.480 -1.711 0.000
3.480 1.711 0.000
-0.426 0.000 8.435
Re Se Br
1 1 2
Direct
0.000 0.000 0.000
0.319 0.319 0.135
0.357 0.357 0.432
0.681 0.681 0.807
```

Properties
Crystal system: monoclinic
Formation energy (no corrections) in meV/atom: 204
E above lowest polymorph in eV per formula unit: 0.64

Number 1: total moment 0.0 Bohr magnetons per cell. Number 2: total moment 0.0 Bohr magnetons per cell. Number 3: total moment 0.0 Bohr magnetons per cell. Number 4: total moment 0.0 Bohr magnetons per cell.